Entry 1:
{
  "formula": "SrTlO",
  "functional": "PBE",
  "state": "optimized geometry",
  "density_g_cm3": 6.35,
  "total_energy_ev_per_cell": -26.85,
  "volume_a3_per_cell": 161.1,
  "raw_formation_energy_mev_per_atom": -1472.4,
  "cell": [[-1.045, 4.402, 0.328], [-2.091, -0.197, -4.021], [-6.708, -1.859, 3.580]],
  "species": ["Sr", "Sr", "Tl", "Tl", "O", "O"],
  "fractional_positions": [[0.000, 0.500, 0.393], [0.500, 0.000, 0.607], [0.000, 0.500, 0.906], [0.500, 0.000, 0.094], [0.500, 0.500, 0.500], [0.000, 0.000, 0.500]]
}

---

Entry 2:
{
  "formula": "SrTlO2",
  "functional": "PBE",
  "state": "optimized geometry",
  "density_g_cm3": 6.49,
  "total_energy_ev_per_cell": -19.92,
  "relative_energy_mev_per_atom": 163,
  "volume_a3_per_cell": 82.9,
  "raw_formation_energy_mev_per_atom": -1490.0,
  "cell": [[2.171, 0.000, 6.764], [-1.086, 1.881, 6.764], [-1.086, -1.881, 6.764]],
  "species": ["Sr", "Tl", "O", "O"],
  "fractional_positions": [[0.500, 0.500, 0.500], [0.000, 0.000, 0.000], [0.895, 0.895, 0.895], [0.105, 0.105, 0.105]]
}

---

Entry 3:
{
  "formula": "Sr12Tl3O5",
  "functional": "PBE",
  "state": "optimized geometry",
  "density_g_cm3": 4.65,
  "total_energy_ev_per_cell": -319.05,
  "volume_a3_per_cell": 2492.3,
  "raw_formation_energy_mev_per_atom": -1384.6,
  "cell": [[-12.750, -4.966, -5.624], [11.007, -9.037, -4.004], [-0.940, 0.389, 14.759]],
  "species": ["Tl", "Tl", "Tl", "Tl", "Tl", "Tl", "Tl", "Tl", "Tl", "Tl", "Tl", "Tl", "O", "O", "O", "O", "O", "O", "O", "O", "O", "O", "O", "O", "O", "O", "O", "O", "O", "O", "O", "O", "Sr", "Sr", "Sr", "Sr", "Sr", "Sr", "Sr", "Sr", "Sr", "Sr", "Sr", "Sr", "Sr", "Sr", "Sr", "Sr", "Sr", "Sr", "Sr", "Sr", "Sr", "Sr", "Sr", "Sr", "Sr", "Sr", "Sr", "Sr", "Sr", "Sr", "Sr", "Sr", "Sr", "Sr", "Sr", "Sr", "Sr", "Sr", "Sr", "Sr", "Sr", "Sr", "Sr", "Sr", "Sr", "Sr", "Sr", "Sr"],
  "fractional_positions": [[0.750, 0.375, 0.125], [0.875, 0.750, 0.125], [0.375, 0.750, 0.625], [0.250, 0.125, 0.375], [0.875, 0.125, 0.250], [0.375, 0.625, 0.250], [0.625, 0.375, 0.750], [0.125, 0.875, 0.750], [0.750, 0.875, 0.625], [0.625, 0.250, 0.375], [0.125, 0.250, 0.875], [0.250, 0.625, 0.875], [0.125, 0.375, 0.250], [0.000, 0.500, 0.000], [0.000, 0.000, 0.000], [0.375, 0.250, 0.125], [0.500, 0.000, 0.500], [0.500, 0.500, 0.000], [0.125, 0.750, 0.375], [0.750, 0.125, 0.875], [0.750, 0.625, 0.375], [0.375, 0.125, 0.750], [0.625, 0.875, 0.250], [0.500, 0.500, 0.500], [0.500, 0.000, 0.000], [0.000, 0.000, 0.500], [0.250, 0.375, 0.625], [0.250, 0.875, 0.125], [0.000, 0.500, 0.500], [0.875, 0.250, 0.625], [0.625, 0.750, 0.875], [0.875, 0.625, 0.750], [0.697, 0.113, 0.010], [0.314, 0.510, 0.397], [0.990, 0.387, 0.303], [0.510, 0.197, 0.113], [0.583, 0.697, 0.686], [0.990, 0.603, 0.186], [0.314, 0.803, 0.417], [0.103, 0.917, 0.113], [0.603, 0.990, 0.686], [0.697, 0.583, 0.186], [0.803, 0.490, 0.387], [0.814, 0.897, 0.010], [0.113, 0.697, 0.510], [0.387, 0.397, 0.083], [0.083, 0.897, 0.387], [0.417, 0.113, 0.603], [0.083, 0.186, 0.197], [0.490, 0.686, 0.103], [0.814, 0.917, 0.303], [0.113, 0.417, 0.103], [0.387, 0.990, 0.803], [0.603, 0.613, 0.417], [0.897, 0.814, 0.510], [0.803, 0.314, 0.917], [0.397, 0.387, 0.583], [0.103, 0.186, 0.490], [0.197, 0.686, 0.083], [0.186, 0.083, 0.697], [0.613, 0.010, 0.197], [0.887, 0.583, 0.897], [0.510, 0.314, 0.897], [0.583, 0.887, 0.397], [0.917, 0.814, 0.803], [0.917, 0.103, 0.613], [0.887, 0.303, 0.490], [0.186, 0.103, 0.990], [0.613, 0.603, 0.917], [0.397, 0.010, 0.314], [0.303, 0.417, 0.814], [0.197, 0.510, 0.613], [0.897, 0.083, 0.887], [0.686, 0.197, 0.583], [0.490, 0.803, 0.887], [0.010, 0.397, 0.814], [0.417, 0.303, 0.314], [0.010, 0.613, 0.697], [0.686, 0.490, 0.603], [0.303, 0.887, 0.990]]
}

---

Entry 4:
{
  "formula": "SrTl2O2",
  "functional": "PBE",
  "state": "optimized geometry",
  "density_g_cm3": 7.59,
  "total_energy_ev_per_cell": -42.21,
  "relative_energy_mev_per_atom": 525,
  "volume_a3_per_cell": 231.2,
  "raw_formation_energy_mev_per_atom": -954.9,
  "cell": [[-6.788, 1.837, 1.138], [-0.872, -5.761, 4.099], [1.265, 2.409, 3.655]],
  "species": ["Sr", "Sr", "Tl", "Tl", "Tl", "Tl", "O", "O", "O", "O"],
  "fractional_positions": [[0.000, 0.000, 0.000], [0.500, 0.500, 0.000], [0.154, 0.654, 0.500], [0.654, 0.846, 0.500], [0.846, 0.346, 0.500], [0.346, 0.154, 0.500], [0.234, 0.734, 0.000], [0.734, 0.766, 0.000], [0.766, 0.266, 0.000], [0.266, 0.234, 0.000]]
}

---

Entry 5:
{
  "formula": "Sr3Tl4O8",
  "functional": "PBE",
  "state": "optimized geometry",
  "density_g_cm3": 7.69,
  "total_energy_ev_per_cell": -76.07,
  "volume_a3_per_cell": 261.0,
  "raw_formation_energy_mev_per_atom": -1459.3,
  "cell": [[7.009, -0.094, -0.135], [-3.415, 6.344, 0.074], [-3.415, -2.133, 5.975]],
  "species": ["Sr", "Sr", "Sr", "Tl", "Tl", "Tl", "Tl", "O", "O", "O", "O", "O", "O", "O", "O"],
  "fractional_positions": [[0.500, 0.500, 0.000], [0.500, 0.000, 0.500], [0.500, 0.500, 0.500], [0.500, 0.000, 0.000], [0.000, 0.500, 0.000], [0.000, 0.000, 0.000], [0.000, 0.000, 0.500], [0.465, 0.224, 0.224], [0.000, 0.777, 0.223], [0.963, 0.217, 0.217], [0.500, 0.748, 0.252], [0.500, 0.252, 0.748], [0.037, 0.783, 0.783], [0.000, 0.223, 0.777], [0.535, 0.776, 0.776]]
}

---

Entry 6:
{
  "formula": "Sr5TlO6",
  "functional": "PBE",
  "state": "optimized geometry",
  "density_g_cm3": 5.79,
  "total_energy_ev_per_cell": -68.82,
  "volume_a3_per_cell": 211.8,
  "raw_formation_energy_mev_per_atom": -2358.2,
  "cell": [[6.370, 0.174, 0.000], [1.960, 6.072, 0.000], [0.980, 3.036, 5.523]],
  "species": ["Sr", "Sr", "Sr", "Sr", "Sr", "Tl", "O", "O", "O", "O", "O", "O"],
  "fractional_positions": [[0.500, 0.164, 0.673], [0.000, 0.333, 0.335], [0.500, 0.500, 0.000], [0.000, 0.667, 0.665], [0.500, 0.836, 0.327], [0.000, 0.000, 0.000], [0.743, 0.085, 0.344], [0.257, 0.570, 0.344], [0.257, 0.259, 0.000], [0.743, 0.741, 0.000], [0.743, 0.430, 0.656], [0.257, 0.915, 0.656]]
}

---

Entry 7:
{
  "formula": "SrUTl2O8",
  "functional": "PBE",
  "state": "optimized geometry",
  "density_g_cm3": 7.67,
  "total_energy_ev_per_cell": -77.73,
  "volume_a3_per_cell": 186.8,
  "raw_formation_energy_mev_per_atom": -1696.9,
  "cell": [[-2.431, 1.048, -4.732], [2.916, -2.515, -2.482], [-4.420, -6.045, 0.931]],
  "species": ["Sr", "U", "Tl", "Tl", "O", "O", "O", "O", "O", "O", "O", "O"],
  "fractional_positions": [[0.000, 0.000, 0.500], [0.000, 0.000, 0.000], [0.500, 0.500, 0.764], [0.500, 0.500, 0.236], [0.164, 0.759, 0.223], [0.708, 0.762, 0.000], [0.836, 0.241, 0.223], [0.836, 0.241, 0.777], [0.292, 0.238, 0.000], [0.164, 0.759, 0.777], [0.561, 0.849, 0.500], [0.439, 0.151, 0.500]]
}

---

Entry 8:
{
  "formula": "Sr2UTl3O6",
  "functional": "PBE",
  "state": "optimized geometry",
  "density_g_cm3": 7.84,
  "total_energy_ev_per_cell": -77.55,
  "volume_a3_per_cell": 237.6,
  "raw_formation_energy_mev_per_atom": -2170.6,
  "cell": [[6.313, 0.034, -0.131], [-3.126, 5.485, -0.131], [-1.203, -2.082, 6.940]],
  "species": ["Sr", "Sr", "U", "Tl", "Tl", "Tl", "O", "O", "O", "O", "O", "O"],
  "fractional_positions": [[0.334, 0.666, 0.000], [0.666, 0.334, 0.000], [0.000, 0.000, 0.000], [0.155, 0.845, 0.500], [0.845, 0.155, 0.500], [0.500, 0.500, 0.500], [0.931, 0.648, 0.840], [0.789, 0.789, 0.170], [0.069, 0.352, 0.160], [0.648, 0.931, 0.840], [0.211, 0.211, 0.830], [0.352, 0.069, 0.160]]
}

---

Entry 9:
{
  "formula": "SrU3Tl4O12",
  "functional": "PBE",
  "state": "optimized geometry",
  "density_g_cm3": 8.72,
  "total_energy_ev_per_cell": -153.53,
  "volume_a3_per_cell": 345.0,
  "raw_formation_energy_mev_per_atom": -2451.1,
  "cell": [[7.653, 0.000, 0.000], [-2.551, 7.215, 0.000], [-2.551, -3.607, 6.248]],
  "species": ["Sr", "U", "U", "U", "Tl", "Tl", "Tl", "Tl", "O", "O", "O", "O", "O", "O", "O", "O", "O", "O", "O", "O"],
  "fractional_positions": [[0.000, 0.000, 0.000], [0.500, 0.000, 0.500], [0.500, 0.500, 0.000], [0.000, 0.500, 0.500], [0.500, 0.500, 0.500], [0.000, 0.000, 0.500], [0.500, 0.000, 0.000], [0.000, 0.500, 0.000], [0.250, 0.500, 0.750], [0.720, 0.000, 0.720], [0.280, 0.000, 0.280], [0.750, 0.500, 0.250], [0.720, 0.720, 0.000], [0.280, 0.280, 0.000], [0.750, 0.250, 0.500], [0.250, 0.750, 0.500], [0.500, 0.250, 0.750], [0.000, 0.720, 0.720], [0.500, 0.750, 0.250], [0.000, 0.280, 0.280]]
}

---

Entry 10:
{
  "formula": "Sr2UTl2O6",
  "functional": "PBE",
  "state": "optimized geometry",
  "density_g_cm3": 6.80,
  "total_energy_ev_per_cell": -75.61,
  "volume_a3_per_cell": 224.2,
  "raw_formation_energy_mev_per_atom": -2407.0,
  "cell": [[-0.694, -6.239, 0.655], [4.311, 2.176, -4.064], [3.281, 1.268, 5.740]],
  "species": ["Sr", "Sr", "U", "Tl", "Tl", "O", "O", "O", "O", "O", "O"],
  "fractional_positions": [[0.336, 0.664, 0.500], [0.664, 0.336, 0.500], [0.000, 0.000, 0.500], [0.838, 0.162, 0.000], [0.162, 0.838, 0.000], [0.784, 0.784, 0.691], [0.051, 0.336, 0.665], [0.216, 0.216, 0.309], [0.336, 0.051, 0.665], [0.949, 0.664, 0.335], [0.664, 0.949, 0.335]]
}

---

Number 1: size of the total moment 0.00 μB/atom. Number 2: size of the total moment 0.13 μB/atom. Number 3: size of the total moment 0.00 μB/atom. Number 4: size of the total moment 0.00 μB/atom. Number 5: size of the total moment 0.00 μB/atom. Number 6: size of the total moment 0.05 μB/atom. Number 7: size of the total moment 0.00 μB/atom. Number 8: size of the total moment 0.00 μB/atom. Number 9: size of the total moment 0.00 μB/atom. Number 10: size of the total moment 0.00 μB/atom.